1.
Below is crystalline Cs2VRh at its relaxed geometry, with properties calculated at the PBE level.

Summary:
**ΔH_f (0 K)**: 1497 meV/atom
**Crystal system**: cubic

Unit cell a=5.767 b=5.767 c=5.767 alpha=60.00 beta=60.00 gamma=60.00
Fractional coordinates of all 4 atoms:
Cs  0.250  0.250  0.250
Cs  0.750  0.750  0.750
V  0.000  0.000  0.000
Rh  0.500  0.500  0.500

2.
Below is crystalline BaSiRu2 at its relaxed geometry, with properties calculated at the PBE level.

Summary:
**Formation energy from raw total energies**: -0.580 eV/f.u.
**Crystal system**: trigonal

Unit cell a=6.372 b=6.372 c=6.372 alpha=39.83 beta=39.83 gamma=39.83
Fractional coordinates of all 4 atoms:
Ba  0.000  0.000  0.000
Si  0.500  0.500  0.500
Ru  0.180  0.180  0.180
Ru  0.820  0.820  0.820

3.
Below is crystalline Sm6BiIr2Se3 at its relaxed geometry, with properties calculated at the PBE level.

Summary:
**Formation energy from raw total energies**: -14.961 eV/f.u.
**Crystal system**: monoclinic

Unit cell a=9.592 b=9.592 c=8.703 alpha=105.27 beta=105.27 gamma=25.19
Fractional coordinates of all 12 atoms:
Sm  0.011  0.011  0.268
Sm  0.325  0.325  0.429
Sm  0.325  0.325  0.887
Sm  0.675  0.675  0.113
Sm  0.675  0.675  0.571
Sm  0.989  0.989  0.732
Bi  0.500  0.500  0.000
Ir  0.169  0.169  0.336
Ir  0.831  0.831  0.664
Se  0.160  0.160  0.837
Se  0.500  0.500  0.500
Se  0.840  0.840  0.163

4.
Below is crystalline FeRe2Au at its relaxed geometry, with properties calculated at the PBE level.

Summary:
**ΔH_f (0 K)**: 523 meV/atom
**E above lowest polymorph**: 304 meV per atom
**Crystal system**: cubic

Unit cell a=4.402 b=4.402 c=4.402 alpha=60.00 beta=60.00 gamma=60.00
Fractional coordinates of all 4 atoms:
Fe  0.000  0.000  0.000
Re  0.500  0.500  0.500
Re  0.750  0.750  0.750
Au  0.250  0.250  0.250

5.
Below is crystalline Ca2BeB2Pt5 at its relaxed geometry, with properties calculated at the PBE level.

Summary:
**ΔH_f (0 K)**: -568 meV/atom
**Crystal system**: tetragonal

Unit cell a=9.695 b=9.695 c=3.081 alpha=90.00 beta=90.00 gamma=90.00
Fractional coordinates of all 20 atoms:
Ca  0.178  0.322  0.000
Ca  0.322  0.822  0.000
Ca  0.678  0.178  0.000
Ca  0.822  0.678  0.000
Be  0.000  0.000  0.000
Be  0.500  0.500  0.000
B  0.124  0.624  0.000
B  0.376  0.124  0.000
B  0.624  0.876  0.000
B  0.876  0.376  0.000
Pt  0.000  0.500  0.500
Pt  0.064  0.788  0.500
Pt  0.212  0.064  0.500
Pt  0.288  0.564  0.500
Pt  0.436  0.288  0.500
Pt  0.500  0.000  0.500
Pt  0.564  0.712  0.500
Pt  0.712  0.436  0.500
Pt  0.788  0.936  0.500
Pt  0.936  0.212  0.500

6.
Below is crystalline LaMgGa at its relaxed geometry, with properties calculated at the PBE level.

Summary:
**ΔH_f (0 K)**: -365 meV/atom
**Crystal system**: orthorhombic

Unit cell a=6.155 b=6.155 c=6.155 alpha=133.36 beta=102.98 gamma=95.09
Fractional coordinates of all 6 atoms:
La  0.000  0.000  0.000
La  0.539  0.039  0.500
Mg  0.406  0.684  0.722
Mg  0.961  0.684  0.278
Ga  0.151  0.352  0.799
Ga  0.553  0.352  0.201

7.
Below is crystalline Ca2ScSb at its relaxed geometry, with properties calculated at the PBE level.

Summary:
**Formation energy from raw total energies**: -1.600 eV/f.u.
**Crystal system**: tetragonal

Unit cell a=3.926 b=3.926 c=8.047 alpha=90.00 beta=90.00 gamma=90.00
Fractional coordinates of all 4 atoms:
Ca  0.000  0.000  0.000
Ca  0.500  0.500  0.340
Sc  0.500  0.500  0.738
Sb  0.000  0.000  0.582

8.
Below is crystalline Dy15Tm4Tl at its relaxed geometry, with properties calculated at the PBE level.

Summary:
**ΔH_f (0 K)**: -18 meV/atom
**Crystal system**: tetragonal

Unit cell a=4.943 b=4.943 c=25.055 alpha=90.00 beta=90.00 gamma=90.00
Fractional coordinates of all 20 atoms:
Dy  0.000  0.000  0.000
Dy  0.000  0.000  0.197
Dy  0.000  0.000  0.399
Dy  0.000  0.000  0.601
Dy  0.000  0.000  0.803
Dy  0.000  0.500  0.098
Dy  0.000  0.500  0.299
Dy  0.000  0.500  0.500
Dy  0.000  0.500  0.701
Dy  0.000  0.500  0.902
Dy  0.500  0.000  0.098
Dy  0.500  0.000  0.299
Dy  0.500  0.000  0.500
Dy  0.500  0.000  0.701
Dy  0.500  0.000  0.902
Tm  0.500  0.500  0.199
Tm  0.500  0.500  0.399
Tm  0.500  0.500  0.601
Tm  0.500  0.500  0.801
Tl  0.500  0.500  0.000